This record from the Alexandria database describes crystalline CoHgTeN2 at its relaxed geometry. The functional is PBE-GGA.

Summary:
Energy in eV per formula unit: -16.47
Crystal system: tetragonal
Density of states at the Fermi level in states/eV per cell: 9.15
Volume in Å³ per cell: 112.69

Lattice parameters (Å, degrees): 4.111 4.111 6.668 90.00 90.00 90.00
Space group P4/mmm (No. 123)
Asymmetric unit:
Co 0.000 0.000 0.000 [1 per cell]
Hg 0.500 0.500 0.500 [1 per cell]
Te 0.500 0.500 0.000 [1 per cell]
N 0.000 0.500 0.500 [2 per cell]